Entry 1:
PmHg4Pd7 | PBE | optimized geometry

The value obtained for the formation energy is -0.1681 eV/atom. The total energy comes out at -88.65 eV per cell.

It has space group C2/m (No. 12), with a = 10.668 Å, b = 5.138 Å, c = 10.151 Å, α = 90.00°, β = 121.68° and γ = 90.00°. The distinct sites, in fractional coordinates, are Pm at (0.000, 0.000, 0.000), Hg at (0.085, 0.500, 0.322), Hg at (0.183, 0.000, 0.767), Pd at (0.000, 0.500, 0.000), Pd at (0.114, 0.000, 0.458), Pd at (0.168, 0.500, 0.630) and Pd at (0.206, 0.500, 0.919).

Entry 2:
Pm4HgPd2 | PBE | optimized geometry

The value obtained for the formation energy is -0.5575 eV/atom. The total energy comes out at -134.37 eV per cell.

It has space group Cc (No. 9), with a = 8.780 Å, b = 15.317 Å, c = 7.110 Å, α = 90.00°, β = 127.10° and γ = 90.00°. The distinct sites, in fractional coordinates, are Pm at (0.000, 0.023, 0.000), Pm at (0.233, 0.322, 0.653), Pm at (0.431, 0.245, 0.332), Pm at (0.467, 0.038, 0.632), Hg at (0.253, 0.133, 0.841), Pd at (0.130, 0.165, 0.339) and Pd at (0.229, 0.409, 0.028).

Entry 3:
PmHgPd | PBE | optimized geometry

The value obtained for the formation energy is -0.5989 eV/atom. The value obtained for the distance to the lowest polymorph of the same formula is 79 meV/atom. The total energy comes out at -12.04 eV per cell.

It has space group P-6m2 (No. 187), with a = 4.7601 Å, b = 4.7601 Å, c = 3.5892 Å, α = 90.00°, β = 90.00° and γ = 120.00°. The distinct sites, in fractional coordinates, are Pm at (0.0000, 0.0000, 0.0000), Hg at (0.6667, 0.3333, 0.5000) and Pd at (0.3333, 0.6667, 0.5000).

Entry 4:
PmHg2Pd5 | PBE | optimized geometry

The value obtained for the formation energy is -0.4495 eV/atom. The value obtained for the distance to the lowest polymorph of the same formula is 0 meV/atom. The total energy comes out at -69.83 eV per cell.

It has space group C2/m (No. 12), with a = 16.670 Å, b = 4.265 Å, c = 4.265 Å, α = 90.00°, β = 104.70° and γ = 90.00°. The distinct sites, in fractional coordinates, are Pm at (0.000, 0.000, 0.000), Hg at (0.247, 0.500, 0.747), Pd at (0.000, 0.500, 0.500), Pd at (0.128, 0.000, 0.627) and Pd at (0.128, 0.500, 0.128).

Entry 5:
Pm5Hg4Pd | PBE | optimized geometry

The value obtained for the formation energy is -0.5320 eV/atom. The total energy comes out at -35.47 eV per cell.

It has space group P4/mmm (No. 123), with a = 3.767 Å, b = 3.767 Å, c = 18.845 Å, α = 90.00°, β = 90.00° and γ = 90.00°. The distinct sites, in fractional coordinates, are Pm at (0.000, 0.000, 0.000), Pm at (0.000, 0.000, 0.206), Pm at (0.000, 0.000, 0.410), Hg at (0.500, 0.500, 0.103), Hg at (0.500, 0.500, 0.306) and Pd at (0.500, 0.500, 0.500).

Entry 6:
Pm3HgPd | PBE | optimized geometry

The value obtained for the formation energy is -0.3704 eV/atom. The value obtained for the distance to the lowest polymorph of the same formula is 60 meV/atom. The total energy comes out at -86.39 eV per cell.

It has space group Cmmm (No. 65), with a = 10.077 Å, b = 15.188 Å, c = 3.986 Å, α = 90.00°, β = 90.00° and γ = 90.00°. The distinct sites, in fractional coordinates, are Pm at (0.000, 0.165, 0.000), Pm at (0.194, 0.384, 0.500), Hg at (0.000, 0.000, 0.500), Hg at (0.000, 0.500, 0.000) and Pd at (0.250, 0.250, 0.000).

Entry 7:
PmHg3Pd4 | PBE | optimized geometry

The value obtained for the formation energy is -0.3891 eV/atom. The total energy comes out at -88.62 eV per cell.

It has space group R-3m (No. 166, hexagonal axes), with a = 4.7817 Å, b = 4.7817 Å, c = 23.3149 Å, α = 90.00°, β = 90.00° and γ = 120.00°. The distinct sites, in fractional coordinates, are Pm at (0.0000, 0.0000, 0.0000), Hg at (0.0000, 0.0000, 0.2519), Hg at (0.0000, 0.0000, 0.5000), Pd at (0.0000, 0.0000, 0.1273) and Pd at (0.0000, 0.0000, 0.3817).

Entry 8:
Pm3Hg4Pd2 | PBE | optimized geometry

The value obtained for the formation energy is -0.5527 eV/atom. The value obtained for the distance to the lowest polymorph of the same formula is 0 meV/atom. The total energy comes out at -61.64 eV per cell.

It has space group C2/m (No. 12), with a = 12.739 Å, b = 4.206 Å, c = 9.680 Å, α = 90.00°, β = 120.91° and γ = 90.00°. The distinct sites, in fractional coordinates, are Pm at (0.000, 0.000, 0.000), Pm at (0.189, 0.500, 0.623), Hg at (0.000, 0.000, 0.340), Hg at (0.220, 0.500, 0.074) and Pd at (0.113, 0.500, 0.269).

Entry 9:
Pm3Hg2Pd3 | PBE | optimized geometry

The value obtained for the formation energy is -0.6085 eV/atom. The value obtained for the distance to the lowest polymorph of the same formula is 12 meV/atom. The total energy comes out at -70.60 eV per cell.

It has space group P6_3/mcm (No. 193), with a = 8.6568 Å, b = 8.6568 Å, c = 5.9615 Å, α = 90.00°, β = 90.00° and γ = 120.00°. The distinct sites, in fractional coordinates, are Pm at (0.0000, 0.2870, 0.2500), Hg at (0.3333, 0.6667, 0.0000) and Pd at (0.0000, 0.3748, 0.7500).

Entry 10:
Pm3Hg2Pd4 | PBE | optimized geometry

The value obtained for the formation energy is -0.6588 eV/atom. The value obtained for the distance to the lowest polymorph of the same formula is 11 meV/atom. The total energy comes out at -83.11 eV per cell.

It has space group C2/m (No. 12), with a = 9.965 Å, b = 4.463 Å, c = 9.285 Å, α = 90.00°, β = 91.04° and γ = 90.00°. The distinct sites, in fractional coordinates, are Pm at (0.000, 0.000, 0.000), Pm at (0.131, 0.500, 0.383), Hg at (0.169, 0.500, 0.779), Pd at (0.075, 0.000, 0.622) and Pd at (0.205, 0.500, 0.083).

Entry 11:
Pm2HgPd | PBE | optimized geometry

The value obtained for the formation energy is -0.5073 eV/atom. The value obtained for the distance to the lowest polymorph of the same formula is 112 meV/atom. The total energy comes out at -51.07 eV per cell.

It has space group R3m (No. 160, hexagonal axes), with a = 4.1691 Å, b = 4.1691 Å, c = 23.0132 Å, α = 90.00°, β = 90.00° and γ = 120.00°. The distinct sites, in fractional coordinates, are Pm at (0.0000, 0.0000, 0.0000), Pm at (0.0000, 0.0000, 0.1909), Hg at (0.0000, 0.0000, 0.4290) and Pd at (0.0000, 0.0000, 0.5942).

Entry 12:
Pm4HgPd12 | PBE | optimized geometry

The value obtained for the formation energy is -0.7308 eV/atom. The total energy comes out at -188.08 eV per cell.

It has space group Im-3m (No. 229), with a = 8.672 Å, b = 8.672 Å, c = 8.672 Å, α = 90.00°, β = 90.00° and γ = 90.00°. The distinct sites, in fractional coordinates, are Pm at (0.250, 0.250, 0.250), Hg at (0.000, 0.000, 0.000), Pd at (0.000, 0.000, 0.306) and Pd at (0.000, 0.250, 0.500).

Entry 13:
PmHg3Pd6 | PBE | optimized geometry

The value obtained for the formation energy is -0.3409 eV/atom. The total energy comes out at -80.44 eV per cell.

It has space group P2_1/m (No. 11), with a = 9.360 Å, b = 4.406 Å, c = 9.464 Å, α = 90.00°, β = 104.81° and γ = 90.00°. The distinct sites, in fractional coordinates, are Pm at (0.227, 0.250, 0.233), Hg at (0.098, 0.750, 0.715), Hg at (0.305, 0.250, 0.857), Hg at (0.388, 0.750, 0.553), Pd at (0.026, 0.250, 0.916), Pd at (0.083, 0.750, 0.395), Pd at (0.201, 0.250, 0.555), Pd at (0.252, 0.750, 0.030), Pd at (0.469, 0.750, 0.291) and Pd at (0.500, 0.250, 0.121).

Entry 14:
PmHg2Pd9 | PBE | optimized geometry

The value obtained for the formation energy is -0.3209 eV/atom. The value obtained for the distance to the lowest polymorph of the same formula is 0 meV/atom. The total energy comes out at -55.94 eV per cell.

It has space group P4/mmm (No. 123), with a = 4.098 Å, b = 4.098 Å, c = 12.332 Å, α = 90.00°, β = 90.00° and γ = 90.00°. The distinct sites, in fractional coordinates, are Pm at (0.000, 0.000, 0.000), Hg at (0.000, 0.000, 0.339), Pd at (0.000, 0.500, 0.173), Pd at (0.000, 0.500, 0.500), Pd at (0.500, 0.500, 0.000) and Pd at (0.500, 0.500, 0.335).

Entry 15:
PmHg2Pd9 | PBE | optimized geometry

The value obtained for the formation energy is -0.2449 eV/atom. The value obtained for the distance to the lowest polymorph of the same formula is 76 meV/atom. The total energy comes out at -165.08 eV per cell.

It has space group R-3m (No. 166, hexagonal axes), with a = 5.3726 Å, b = 5.3726 Å, c = 26.2393 Å, α = 90.00°, β = 90.00° and γ = 120.00°. The distinct sites, in fractional coordinates, are Pm at (0.0000, 0.0000, 0.0000), Hg at (0.0000, 0.0000, 0.1410), Pd at (0.0000, 0.0000, 0.3337), Pd at (0.0000, 0.0000, 0.5000) and Pd at (0.0043, 0.5021, 0.9145).

Entry 16:
PmHg2Pd | PBE | optimized geometry

The value obtained for the formation energy is -0.3913 eV/atom. The value obtained for the distance to the lowest polymorph of the same formula is 140 meV/atom. The total energy comes out at -12.11 eV per cell.

It has space group P4/mmm (No. 123), with a = 4.347 Å, b = 4.347 Å, c = 4.916 Å, α = 90.00°, β = 90.00° and γ = 90.00°. The distinct sites, in fractional coordinates, are Pm at (0.000, 0.000, 0.000), Hg at (0.000, 0.500, 0.500) and Pd at (0.500, 0.500, 0.000).

Entry 17:
Pm6Hg5Pd | PBE | optimized geometry

The value obtained for the formation energy is -0.5174 eV/atom. The total energy comes out at -82.83 eV per cell.

It has space group C2/m (No. 12), with a = 16.816 Å, b = 7.562 Å, c = 5.339 Å, α = 90.00°, β = 108.36° and γ = 90.00°. The distinct sites, in fractional coordinates, are Pm at (0.000, 0.236, 0.000), Pm at (0.160, 0.241, 0.661), Hg at (0.000, 0.500, 0.500), Hg at (0.167, 0.500, 0.167), Hg at (0.178, 0.000, 0.179) and Pd at (0.000, 0.000, 0.500).

Entry 18:
Pm6Hg2Pd | PBE | optimized geometry

The value obtained for the formation energy is -0.1868 eV/atom. The total energy comes out at -71.96 eV per cell.

It has space group C2/m (No. 12), with a = 15.985 Å, b = 7.274 Å, c = 5.295 Å, α = 90.00°, β = 109.29° and γ = 90.00°. The distinct sites, in fractional coordinates, are Pm at (0.000, 0.237, 0.000), Pm at (0.159, 0.248, 0.659), Hg at (0.168, 0.500, 0.168) and Pd at (0.000, 0.000, 0.500).

Entry 19:
PmHg3Pd3 | PBE | optimized geometry

The value obtained for the formation energy is 0.2907 eV/atom. The value obtained for the distance to the lowest polymorph of the same formula is 673 meV/atom. The total energy comes out at -38.40 eV per cell.

It has space group Pm-3n (No. 223), with a = 7.355 Å, b = 7.355 Å, c = 7.355 Å, α = 90.00°, β = 90.00° and γ = 90.00°. The distinct sites, in fractional coordinates, are Pm at (0.000, 0.000, 0.000), Hg at (0.000, 0.250, 0.500) and Pd at (0.000, 0.500, 0.250).

Entry 20:
PmHg4Pd2 | PBE | optimized geometry

The value obtained for the formation energy is -0.3014 eV/atom. The total energy comes out at -36.91 eV per cell.

It has space group P4_2/mnm (No. 136), with a = 8.976 Å, b = 8.976 Å, c = 3.928 Å, α = 90.00°, β = 90.00° and γ = 90.00°. The distinct sites, in fractional coordinates, are Pm at (0.000, 0.000, 0.000), Hg at (0.092, 0.329, 0.500) and Pd at (0.175, 0.825, 0.500).